[1]
Material: LaFeOsC2
Method: DFT, PBE
State: optimized geometry

Unit cell a=3.762 b=5.722 c=3.762 alpha=90.00 beta=90.00 gamma=90.00
Last column: magnetic moment on the atom in μB.
Positions (direct):
Os: 0.500 0.500 0.500  0.60
C: 0.500 0.000 0.000  -0.02
La: 0.000 0.500 0.000  0.00
Fe: 0.000 0.000 0.000  0.14
C: 0.000 0.000 0.500  -0.04

Formation energy from the elements   1704 meV/atom
Space group   P4/mmm (123)

***

[2]
Material: Fe3SiRh4
Method: DFT, PBE
State: optimized geometry

Unit cell a=4.100 b=4.100 c=6.994 alpha=107.06 beta=107.04 gamma=90.00
Last column: magnetic moment on the atom in μB.
Positions (direct):
Fe: 0.000 0.500 0.000  3.10
Rh: 0.883 0.883 0.766  0.64
Rh: 0.117 0.117 0.234  0.64
Fe: 0.750 0.250 0.500  3.11
Rh: 0.617 0.617 0.234  0.64
Rh: 0.383 0.383 0.766  0.64
Fe: 0.250 0.750 0.500  3.11
Si: 0.500 0.000 0.000  -0.01

E_form (uncorrected)   -285 meV per atom
Space group   I4/mmm (139)

***

[3]
Material: HoMgZn17
Method: DFT, PBE
State: optimized geometry

Unit cell a=6.783 b=6.783 c=6.783 alpha=82.47 beta=82.47 gamma=82.47
Positions (direct):
Zn: 0.648 0.163 0.648
Zn: 0.692 0.299 0.003
Zn: 0.350 0.841 0.350
Zn: 0.841 0.350 0.350
Zn: 0.299 0.003 0.692
Mg: 0.364 0.364 0.364
Zn: 0.163 0.648 0.648
Zn: 0.990 0.990 0.501
Zn: 0.501 0.990 0.990
Zn: 0.003 0.692 0.299
Zn: 0.350 0.350 0.841
Zn: 0.901 0.901 0.901
Zn: 0.299 0.692 0.003
Zn: 0.106 0.106 0.106
Ho: 0.662 0.662 0.662
Zn: 0.648 0.648 0.163
Zn: 0.990 0.501 0.990
Zn: 0.692 0.003 0.299
Zn: 0.003 0.299 0.692

Formation energy from the elements   -119 meV/atom
Space group   R3m (160)

***

[4]
Material: Ca4Ag2N
Method: DFT, PBE
State: optimized geometry

Unit cell a=4.823 b=4.823 c=8.479 alpha=73.48 beta=73.48 gamma=90.00
Positions (direct):
Ca: 0.841 0.841 0.319
Ag: 0.359 0.359 0.282
Ag: 0.641 0.641 0.718
Ca: 0.500 0.000 0.000
Ca: 0.000 0.500 0.000
Ca: 0.159 0.159 0.681
N: 0.000 0.000 0.000

Relative energy among the computed polymorphs   0 meV per atom
E_form (uncorrected)   -459 meV per atom
Space group   I4/mmm (139)

***

[5]
Material: Tl2AsBr
Method: DFT, PBE
State: optimized geometry

Unit cell a=5.411 b=5.411 c=5.411 alpha=60.00 beta=60.00 gamma=60.00
Positions (direct):
As: 0.500 0.500 0.500
Tl: 0.000 0.000 0.000
Tl: 0.250 0.250 0.250
Br: 0.750 0.750 0.750

Relative energy among the computed polymorphs   286 meV per atom
E_form (uncorrected)   102 meV per atom
Space group   F-43m (216)

***

[6]
Material: Rb5GaO4
Method: DFT, PBE
State: optimized geometry

Unit cell a=7.062 b=12.112 c=21.559 alpha=90.00 beta=90.00 gamma=90.00
Positions (direct):
O: 0.905 0.962 0.116
Rb: 0.420 0.932 0.934
Rb: 0.886 0.418 0.254
O: 0.789 0.598 0.054
Rb: 0.573 0.363 0.003
O: 0.095 0.038 0.884
O: 0.789 0.098 0.446
Rb: 0.573 0.863 0.497
Rb: 0.080 0.932 0.434
Ga: 0.324 0.969 0.625
Ga: 0.176 0.969 0.125
Rb: 0.609 0.673 0.823
O: 0.905 0.462 0.384
Rb: 0.614 0.418 0.754
O: 0.247 0.122 0.131
O: 0.744 0.110 0.801
O: 0.747 0.378 0.131
Rb: 0.934 0.796 0.632
Rb: 0.386 0.082 0.254
O: 0.753 0.878 0.869
O: 0.747 0.878 0.369
Rb: 0.114 0.582 0.746
O: 0.256 0.890 0.199
Rb: 0.080 0.432 0.066
Rb: 0.386 0.582 0.246
Rb: 0.066 0.204 0.368
O: 0.595 0.962 0.616
O: 0.211 0.402 0.946
Rb: 0.391 0.827 0.323
O: 0.211 0.902 0.554
Rb: 0.566 0.796 0.132
O: 0.405 0.038 0.384
Rb: 0.566 0.296 0.368
O: 0.256 0.390 0.301
Rb: 0.920 0.568 0.934
Rb: 0.420 0.432 0.566
O: 0.595 0.462 0.884
Rb: 0.609 0.173 0.677
Rb: 0.073 0.637 0.497
Ga: 0.676 0.531 0.125
O: 0.253 0.622 0.869
Rb: 0.580 0.568 0.434
Rb: 0.427 0.137 0.503
Rb: 0.920 0.068 0.566
Rb: 0.886 0.918 0.246
O: 0.289 0.402 0.446
Rb: 0.109 0.827 0.823
Rb: 0.927 0.863 0.997
Ga: 0.824 0.031 0.875
Rb: 0.614 0.918 0.746
Rb: 0.927 0.363 0.503
O: 0.744 0.610 0.699
O: 0.247 0.622 0.369
O: 0.289 0.902 0.054
Rb: 0.114 0.082 0.754
Ga: 0.824 0.531 0.625
Rb: 0.891 0.173 0.177
Rb: 0.434 0.704 0.632
O: 0.244 0.390 0.801
O: 0.244 0.890 0.699
Ga: 0.176 0.469 0.375
O: 0.405 0.538 0.116
O: 0.756 0.610 0.199
Rb: 0.580 0.068 0.066
Rb: 0.066 0.704 0.132
Rb: 0.891 0.673 0.323
O: 0.253 0.122 0.631
Rb: 0.434 0.204 0.868
O: 0.753 0.378 0.631
Rb: 0.934 0.296 0.868
Rb: 0.073 0.137 0.003
Rb: 0.427 0.637 0.997
Ga: 0.324 0.469 0.875
O: 0.711 0.598 0.554
Rb: 0.109 0.327 0.677
O: 0.095 0.538 0.616
Rb: 0.391 0.327 0.177
O: 0.711 0.098 0.946
Ga: 0.676 0.031 0.375
O: 0.756 0.110 0.301

Relative energy among the computed polymorphs   0 meV per atom
E_form (uncorrected)   -1368 meV per atom
Space group   Pbca (61)

***

[7]
Material: Pr2Mg5Cd12
Method: DFT, PBE
State: optimized geometry

Unit cell a=7.663 b=7.663 c=7.663 alpha=82.03 beta=82.03 gamma=82.03
Positions (direct):
Cd: 0.643 0.153 0.643
Mg: 0.000 0.500 0.000
Cd: 0.357 0.847 0.357
Mg: 0.899 0.899 0.899
Cd: 0.000 0.706 0.294
Cd: 0.706 0.000 0.294
Mg: 0.000 0.000 0.500
Cd: 0.643 0.643 0.153
Cd: 0.357 0.357 0.847
Cd: 0.153 0.643 0.643
Mg: 0.101 0.101 0.101
Cd: 0.294 0.706 0.000
Pr: 0.666 0.666 0.666
Cd: 0.706 0.294 0.000
Mg: 0.500 0.000 0.000
Cd: 0.000 0.294 0.706
Cd: 0.294 0.000 0.706
Pr: 0.334 0.334 0.334
Cd: 0.847 0.357 0.357

Formation energy from the elements   -206 meV/atom
Space group   R-3m (166)

***

[8]
Material: NaNdSc
Method: DFT, PBE
State: optimized geometry

Unit cell a=6.084 b=6.472 c=6.458 alpha=77.21 beta=61.90 gamma=61.97
Positions (direct):
Sc: 0.750 0.500 0.500
Sc: 0.250 0.500 0.500
Nd: 0.676 0.000 0.648
Nd: 0.324 0.000 0.352
Na: 0.854 0.292 0.000
Na: 0.146 0.708 0.000

Relative energy among the computed polymorphs   243 meV per atom
Formation energy from the elements   420 meV/atom
Space group   Fmmm (69)

***

[9]
Material: Cs3CeTh2Se6
Method: DFT, PBE
State: optimized geometry

Unit cell a=7.532 b=7.532 c=8.846 alpha=98.16 beta=98.16 gamma=120.00
Last column: magnetic moment on the atom in μB.
Positions (direct):
Cs: 0.166 0.834 0.500  0.00
Se: 0.275 0.275 0.807  -0.01
Th: 0.333 0.667 0.000  0.15
Se: 0.065 0.404 0.193  -0.01
Ce: 0.000 0.000 0.000  1.10
Se: 0.596 0.935 0.807  -0.01
Se: 0.725 0.725 0.193  -0.01
Cs: 0.834 0.166 0.500  0.00
Se: 0.935 0.596 0.807  -0.01
Se: 0.404 0.065 0.193  -0.01
Cs: 0.500 0.500 0.500  0.00
Th: 0.667 0.333 0.000  0.15

E_form (uncorrected)   -1572 meV per atom
Space group   C2/m (12)

***

[10]
Material: Mn2FeRe
Method: DFT, PBE
State: optimized geometry

Unit cell a=4.460 b=4.460 c=4.460 alpha=131.81 beta=131.81 gamma=70.53
Last column: magnetic moment on the atom in μB.
Positions (direct):
Re: 0.500 0.500 0.000  -0.17
Mn: 0.250 0.750 0.500  1.39
Mn: 0.000 0.000 0.000  -1.78
Fe: 0.750 0.250 0.500  1.17

Formation energy from the elements   35 meV/atom
Space group   I-4m2 (119)

***

[11]
Material: PrCdSbAu
Method: DFT, PBE
State: optimized geometry

Unit cell a=5.252 b=5.252 c=5.252 alpha=60.00 beta=60.00 gamma=60.00
Positions (direct):
Au: 0.000 0.000 0.000
Cd: 0.750 0.750 0.750
Sb: 0.500 0.500 0.500
Pr: 0.250 0.250 0.250

E_form (uncorrected)   -473 meV per atom
Space group   F-43m (216)

***

[12]
Material: Tb7Cu2Os2
Method: DFT, PBE
State: optimized geometry

Unit cell a=6.618 b=7.070 c=6.618 alpha=90.00 beta=110.08 gamma=90.00
Positions (direct):
Cu: 0.834 0.500 0.834
Os: 0.300 0.000 0.700
Os: 0.700 0.000 0.300
Tb: 0.500 0.746 0.500
Cu: 0.166 0.500 0.166
Tb: 0.000 0.000 0.000
Tb: 0.500 0.734 0.000
Tb: 0.000 0.734 0.500
Tb: 0.000 0.266 0.500
Tb: 0.500 0.266 0.000
Tb: 0.500 0.254 0.500

Formation energy from the elements   -39 meV/atom
Space group   Cmmm (65)

***

[13]
Material: AcYTm2Se6
Method: DFT, PBE
State: optimized geometry

Unit cell a=7.339 b=7.339 c=7.716 alpha=61.61 beta=61.61 gamma=60.00
Positions (direct):
Se: 0.617 0.235 0.242
Tm: 0.010 0.010 0.971
Se: 0.733 0.156 0.743
Y: 0.317 0.317 0.048
Tm: 0.517 0.517 0.450
Se: 0.156 0.367 0.743
Se: 0.367 0.734 0.743
Se: 0.235 0.907 0.242
Se: 0.907 0.617 0.242
Ac: 0.803 0.803 0.591

E_form (uncorrected)   -1875 meV per atom
Space group   R3 (146)

***

[14]
Material: SmAsRhS
Method: DFT, PBE
State: optimized geometry

Unit cell a=4.489 b=4.489 c=8.364 alpha=90.00 beta=90.00 gamma=90.00
Positions (direct):
As: 0.500 0.000 0.135
Sm: 0.500 0.000 0.683
Sm: 0.000 0.500 0.317
S: 0.000 0.000 0.500
As: 0.000 0.500 0.865
Rh: 0.500 0.500 0.000
Rh: 0.000 0.000 0.000
S: 0.500 0.500 0.500

E_form (uncorrected)   -1146 meV per atom
Space group   P4/nmm (129)

***

[15]
Material: Sr2GaSn3
Method: DFT, PBE
State: optimized geometry

Unit cell a=4.682 b=4.553 c=8.998 alpha=90.00 beta=90.00 gamma=90.00
Positions (direct):
Sr: 0.000 0.000 0.496
Sn: 0.500 0.000 0.841
Sr: 0.000 0.500 0.003
Sn: 0.500 0.000 0.179
Sn: 0.500 0.500 0.642
Ga: 0.500 0.500 0.339

Relative energy among the computed polymorphs   45 meV per atom
Formation energy from the elements   -439 meV/atom
Space group   Pmm2 (25)

***

[16]
Material: SnPb2F
Method: DFT, PBE
State: optimized geometry

Unit cell a=5.201 b=5.201 c=5.201 alpha=60.00 beta=60.00 gamma=60.00
Positions (direct):
Pb: 0.750 0.750 0.750
Pb: 0.250 0.250 0.250
F: 0.000 0.000 0.000
Sn: 0.500 0.500 0.500

Relative energy among the computed polymorphs   0 meV per atom
E_form (uncorrected)   -628 meV per atom
Space group   Fm-3m (225)

***

[17]
Material: AcCeAgSn
Method: DFT, PBE
State: optimized geometry

Unit cell a=5.567 b=5.567 c=5.567 alpha=60.00 beta=60.00 gamma=60.00
Last column: magnetic moment on the atom in μB.
Positions (direct):
Ce: 0.250 0.250 0.250  1.16
Ag: 0.500 0.500 0.500  0.03
Sn: 0.000 0.000 0.000  -0.03
Ac: 0.750 0.750 0.750  0.15

Formation energy from the elements   -376 meV/atom
Space group   F-43m (216)

***

[18]
Material: NbP2AuO
Method: DFT, PBE
State: optimized geometry

Unit cell a=4.750 b=4.750 c=3.922 alpha=90.00 beta=90.00 gamma=90.00
Positions (direct):
P: 0.500 0.000 0.000
P: 0.000 0.500 0.000
Nb: 0.500 0.500 0.500
O: 0.000 0.000 0.500
Au: 0.000 0.000 0.000

Relative energy among the computed polymorphs   1007 meV per atom
E_form (uncorrected)   833 meV per atom
Space group   P4/mmm (123)

***

[19]
Material: SrLiBe2
Method: DFT, PBE
State: optimized geometry

Unit cell a=5.082 b=5.082 c=3.236 alpha=90.00 beta=90.00 gamma=90.00
Positions (direct):
Be: 0.500 0.500 0.000
Be: 0.000 0.000 0.000
Sr: 0.000 0.500 0.500
Li: 0.500 0.000 0.500

Relative energy among the computed polymorphs   487 meV per atom
Formation energy from the elements   777 meV/atom
Space group   P4/mmm (123)

***

[20]
Material: NiAuS2
Method: DFT, PBE
State: optimized geometry

Unit cell a=6.518 b=3.759 c=11.165 alpha=90.00 beta=90.00 gamma=90.00
Positions (direct):
S: 0.452 0.250 0.699
Ni: 0.378 0.750 0.124
Au: 0.131 0.750 0.898
S: 0.548 0.750 0.301
S: 0.336 0.250 0.989
S: 0.836 0.250 0.511
Ni: 0.122 0.250 0.624
Au: 0.869 0.250 0.102
Ni: 0.622 0.250 0.876
Au: 0.369 0.250 0.398
S: 0.664 0.750 0.011
Au: 0.631 0.750 0.602
Ni: 0.878 0.750 0.376
S: 0.164 0.750 0.489
S: 0.952 0.250 0.801
S: 0.048 0.750 0.199

E_form (uncorrected)   -30 meV per atom
Space group   Pnma (62)